# KIn2Se4 | Alexandria | PBE | optimized geometry
# crystal system	orthorhombic
# ΔE_f (raw)	-0.59	eV/atom
data_KIn2Se4
_space_group_name_H-M_alt 'C c c m'
_space_group_IT_number 66
_space_group_name_Hall '-C 2 2c'
_cell_length_a 7.007
_cell_length_b 11.354
_cell_length_c 11.604
_cell_angle_alpha 90.00
_cell_angle_beta 90.00
_cell_angle_gamma 90.00
loop_
_atom_site_label
_atom_site_fract_x
_atom_site_fract_y
_atom_site_fract_z
K1 0.000 0.000 0.250
In1 0.001 0.262 0.000
Se1 0.235 0.078 0.500
Se2 0.250 0.250 0.169



# KInSe2 | Alexandria | PBE | optimized geometry
# crystal system	tetragonal
# ΔE_f (raw)	-0.39	eV/atom
data_KInSe2
_space_group_name_H-M_alt 'P 4/m m m'
_space_group_IT_number 123
_space_group_name_Hall '-P 4 2'
_cell_length_a 5.126
_cell_length_b 5.126
_cell_length_c 3.897
_cell_angle_alpha 90.00
_cell_angle_beta 90.00
_cell_angle_gamma 90.00
loop_
_atom_site_label
_atom_site_fract_x
_atom_site_fract_y
_atom_site_fract_z
K1 0.000 0.000 0.000
In1 0.500 0.500 0.000
Se1 0.000 0.500 0.500



# KInSe2 | Alexandria | PBE | optimized geometry
# crystal system	trigonal
# ΔE_f (raw)	-0.84	eV/atom
data_KInSe2
_space_group_name_H-M_alt 'R 3 m'
_space_group_IT_number 160
_space_group_name_Hall 'R 3 -2"'
_cell_length_a 4.0990
_cell_length_b 4.0990
_cell_length_c 23.2676
_cell_angle_alpha 90.00
_cell_angle_beta 90.00
_cell_angle_gamma 120.00
loop_
_atom_site_label
_atom_site_fract_x
_atom_site_fract_y
_atom_site_fract_z
K1 0.0000 0.0000 0.0000
In1 0.0000 0.0000 0.8325
Se1 0.0000 0.0000 0.2320
Se2 0.0000 0.0000 0.4337



# K2InSe | Alexandria | PBE | optimized geometry
# E above lowest polymorph	113	meV per atom
# crystal system	orthorhombic
# ΔE_f (raw)	-0.49	eV/atom
data_K2InSe
_space_group_name_H-M_alt 'P m m m'
_space_group_IT_number 47
_cell_length_a 4.155
_cell_length_b 4.385
_cell_length_c 7.234
_cell_angle_alpha 90.00
_cell_angle_beta 90.00
_cell_angle_gamma 90.00
loop_
_space_group_symop_operation_xyz
'x,y,z'
'-x,-y,-z'
'-x,-y,z'
'x,y,-z'
'x,-y,-z'
'-x,y,z'
'-x,y,-z'
'x,-y,z'
loop_
_atom_site_label
_atom_site_fract_x
_atom_site_fract_y
_atom_site_fract_z
K1 0.000 0.000 0.208
In1 0.500 0.500 0.500
Se1 0.500 0.500 0.000